No. 1
{
  "formula": "Ca6FeP5",
  "functional": "PBE",
  "state": "optimized geometry",
  "e_form_mev_per_atom": -974,
  "dos_at_fermi_per_ev_cell": 6.32,
  "energy_ev_per_cell": -118.41,
  "cell": [[-0.312, -3.984, 5.964], [6.341, 1.364, -3.078], [1.323, 11.805, 7.955]],
  "species": ["Ca", "Ca", "Ca", "Ca", "Ca", "Ca", "Ca", "Ca", "Ca", "Ca", "Ca", "Ca", "Fe", "Fe", "P", "P", "P", "P", "P", "P", "P", "P", "P", "P"],
  "fractional_positions": [[0.624, 0.000, 0.121], [0.000, 0.624, 0.121], [0.376, 0.376, 0.121], [0.376, 0.000, 0.621], [0.000, 0.376, 0.621], [0.624, 0.624, 0.621], [0.000, 0.624, 0.379], [0.624, 0.000, 0.379], [0.376, 0.376, 0.379], [0.000, 0.376, 0.879], [0.376, 0.000, 0.879], [0.624, 0.624, 0.879], [0.000, 0.000, 0.250], [0.000, 0.000, 0.750], [0.667, 0.333, 0.000], [0.333, 0.667, 0.500], [0.333, 0.667, 0.000], [0.667, 0.333, 0.500], [0.302, 0.000, 0.250], [0.000, 0.302, 0.250], [0.698, 0.698, 0.250], [0.698, 0.000, 0.750], [0.000, 0.698, 0.750], [0.302, 0.302, 0.750]]
}

***

No. 2
{
  "formula": "Ca4FeP",
  "functional": "PBE",
  "state": "optimized geometry",
  "e_form_mev_per_atom": 791,
  "dos_at_fermi_per_ev_cell": 7.79,
  "energy_ev_per_cell": -17.14,
  "cell": [[0.000, 4.485, 4.485], [4.485, 0.000, 4.485], [4.485, 4.485, 0.000]],
  "species": ["Ca", "Ca", "Ca", "Ca", "Fe", "P"],
  "fractional_positions": [[0.875, 0.375, 0.375], [0.375, 0.375, 0.875], [0.375, 0.875, 0.375], [0.375, 0.375, 0.375], [0.750, 0.750, 0.750], [0.000, 0.000, 0.000]]
}

***

No. 3
{
  "formula": "CaFeP",
  "functional": "PBE",
  "state": "optimized geometry",
  "e_form_mev_per_atom": 650,
  "dos_at_fermi_per_ev_cell": 9.31,
  "energy_ev_per_cell": -13.92,
  "cell": [[-0.135, -4.050, 2.175], [-0.092, -3.909, -2.422], [3.678, -2.761, -0.050]],
  "species": ["Ca", "Fe", "P"],
  "fractional_positions": [[0.750, 0.750, 0.750], [0.000, 0.000, 0.000], [0.500, 0.500, 0.500]]
}

***

No. 4
{
  "formula": "CaFe3P",
  "functional": "PBE",
  "state": "optimized geometry",
  "e_form_mev_per_atom": 60,
  "dos_at_fermi_per_ev_cell": 4.58,
  "energy_ev_per_cell": -32.50,
  "e_above_lowest_polymorph_ev_per_fu": 0.00,
  "cell": [[4.323, 0.000, 0.000], [0.000, 4.323, 0.000], [0.000, 0.000, 4.323]],
  "species": ["P", "Ca", "Fe", "Fe", "Fe"],
  "fractional_positions": [[0.000, 0.000, 0.000], [0.500, 0.500, 0.500], [0.000, 0.500, 0.000], [0.000, 0.000, 0.500], [0.500, 0.000, 0.000]]
}

***

No. 5
{
  "formula": "CaFePPd",
  "functional": "PBE",
  "state": "optimized geometry",
  "e_form_mev_per_atom": -686,
  "dos_at_fermi_per_ev_cell": 3.81,
  "energy_ev_per_cell": -47.62,
  "cell": [[-2.476, 2.824, 0.409], [-2.649, -2.074, -1.718], [-2.782, -3.711, 8.770]],
  "species": ["Ca", "Ca", "Fe", "Fe", "P", "P", "Pd", "Pd"],
  "fractional_positions": [[0.750, 0.750, 0.264], [0.250, 0.250, 0.736], [0.750, 0.250, 0.000], [0.250, 0.750, 0.000], [0.750, 0.750, 0.885], [0.250, 0.250, 0.115], [0.250, 0.750, 0.500], [0.750, 0.250, 0.500]]
}

***

No. 6
{
  "formula": "CaFePPd2",
  "functional": "PBE",
  "state": "optimized geometry",
  "e_form_mev_per_atom": -138,
  "dos_at_fermi_per_ev_cell": 3.09,
  "energy_ev_per_cell": -26.95,
  "cell": [[-0.991, -4.036, 2.393], [4.094, -0.356, 1.096], [-0.839, 2.559, 3.968]],
  "species": ["P", "Ca", "Fe", "Pd", "Pd"],
  "fractional_positions": [[0.000, 0.500, 0.000], [0.500, 0.500, 0.500], [0.000, 0.000, 0.000], [0.000, 0.000, 0.500], [0.500, 0.000, 0.000]]
}

***

No. 7
{
  "formula": "CaFe2ReP",
  "functional": "PBE",
  "state": "optimized geometry",
  "e_form_mev_per_atom": 516,
  "dos_at_fermi_per_ev_cell": 6.83,
  "energy_ev_per_cell": -34.20,
  "cell": [[-0.750, 3.723, -2.873], [-3.625, -2.061, -1.725], [-2.735, 2.021, 3.334]],
  "species": ["Re", "Ca", "Fe", "Fe", "P"],
  "fractional_positions": [[0.000, 0.000, 0.000], [0.500, 0.500, 0.500], [0.000, 0.000, 0.500], [0.500, 0.000, 0.000], [0.000, 0.500, 0.000]]
}

***

No. 8
{
  "formula": "CaFeSbP2",
  "functional": "PBE",
  "state": "optimized geometry",
  "dos_at_fermi_per_ev_cell": 4.35,
  "energy_ev_per_cell": -19.86,
  "e_form_raw_kj_per_mol_atoms": 107,
  "cell": [[5.108, 0.000, 0.000], [0.000, 5.702, 0.000], [0.000, 0.000, 5.108]],
  "species": ["Sb", "Ca", "Fe", "P", "P"],
  "fractional_positions": [[0.000, 0.000, 0.000], [0.000, 0.500, 0.000], [0.500, 0.500, 0.500], [0.000, 0.000, 0.500], [0.500, 0.000, 0.000]]
}

***

No. 9
{
  "formula": "CaFe2SiP",
  "functional": "PBE",
  "state": "optimized geometry",
  "dos_at_fermi_per_ev_cell": 7.55,
  "energy_ev_per_cell": -28.23,
  "e_form_raw_kj_per_mol_atoms": 30,
  "cell": [[4.213, 0.000, 0.000], [0.000, 4.747, 0.000], [0.000, 0.000, 4.213]],
  "species": ["P", "Ca", "Si", "Fe", "Fe"],
  "fractional_positions": [[0.000, 0.000, 0.000], [0.500, 0.500, 0.500], [0.000, 0.500, 0.000], [0.000, 0.000, 0.500], [0.500, 0.000, 0.000]]
}

***

No. 10
{
  "formula": "CaTaFeP2",
  "functional": "PBE",
  "state": "optimized geometry",
  "e_form_mev_per_atom": -704,
  "dos_at_fermi_per_ev_cell": 2.12,
  "energy_ev_per_cell": -36.65,
  "cell": [[-2.260, 1.795, 2.533], [-3.042, -1.908, -1.362], [3.630, -4.362, 3.419]],
  "species": ["Ca", "Ta", "Fe", "P", "P"],
  "fractional_positions": [[0.000, 0.000, 0.000], [0.250, 0.750, 0.500], [0.750, 0.250, 0.500], [0.626, 0.626, 0.252], [0.374, 0.374, 0.748]]
}

***

No. 11
{
  "formula": "CaVFeP2",
  "functional": "PBE",
  "state": "optimized geometry",
  "e_form_mev_per_atom": -780,
  "dos_at_fermi_per_ev_cell": 3.40,
  "energy_ev_per_cell": -34.30,
  "cell": [[-2.935, 2.004, -1.539], [-2.445, -2.847, 0.956], [1.826, 2.721, 4.932]],
  "species": ["Ca", "V", "Fe", "P", "P"],
  "fractional_positions": [[0.000, 0.000, 0.000], [0.250, 0.750, 0.500], [0.750, 0.250, 0.500], [0.629, 0.629, 0.259], [0.371, 0.371, 0.741]]
}

***

No. 12
{
  "formula": "CaPaFe4",
  "functional": "PBE",
  "state": "optimized geometry",
  "e_form_mev_per_atom": 82,
  "dos_at_fermi_per_ev_cell": 6.10,
  "energy_ev_per_cell": -44.86,
  "cell": [[-2.588, 2.430, -3.673], [0.569, -1.401, -4.880], [-3.811, -2.373, -2.437]],
  "species": ["Ca", "Pa", "Fe", "Fe", "Fe", "Fe"],
  "fractional_positions": [[0.000, 0.000, 0.000], [0.250, 0.250, 0.250], [0.624, 0.624, 0.127], [0.624, 0.127, 0.624], [0.624, 0.624, 0.624], [0.127, 0.624, 0.624]]
}

***

No. 13
{
  "formula": "CaFePb2",
  "functional": "PBE",
  "state": "optimized geometry",
  "e_form_mev_per_atom": 324,
  "dos_at_fermi_per_ev_cell": 3.98,
  "energy_ev_per_cell": -16.58,
  "cell": [[0.775, -4.324, 2.438], [-0.962, -0.316, 4.921], [-3.911, -2.703, 1.627]],
  "species": ["Pb", "Pb", "Ca", "Fe"],
  "fractional_positions": [[0.250, 0.250, 0.250], [0.750, 0.750, 0.750], [0.000, 0.000, 0.000], [0.500, 0.500, 0.500]]
}

***

No. 14
{
  "formula": "CaFePb2",
  "functional": "PBE",
  "state": "optimized geometry",
  "e_form_mev_per_atom": 202,
  "dos_at_fermi_per_ev_cell": 3.75,
  "energy_ev_per_cell": -17.07,
  "cell": [[-4.125, -2.555, 3.426], [1.649, -5.039, 2.678], [2.274, 5.458, -0.565]],
  "species": ["Pb", "Pb", "Ca", "Fe"],
  "fractional_positions": [[0.000, 0.000, 0.000], [0.250, 0.750, 0.500], [0.500, 0.500, 0.000], [0.750, 0.250, 0.500]]
}

***

No. 15
{
  "formula": "CaFePb2",
  "functional": "PBE",
  "state": "optimized geometry",
  "e_form_mev_per_atom": 339,
  "dos_at_fermi_per_ev_cell": 7.58,
  "energy_ev_per_cell": -16.53,
  "cell": [[5.304, 0.000, 0.000], [2.652, 4.593, 0.000], [2.652, 1.531, 4.331]],
  "species": ["Pb", "Pb", "Ca", "Fe"],
  "fractional_positions": [[0.000, 0.000, 0.000], [0.250, 0.250, 0.250], [0.500, 0.500, 0.500], [0.750, 0.750, 0.750]]
}

***

No. 16
{
  "formula": "Ca3FePb",
  "functional": "PBE",
  "state": "optimized geometry",
  "e_form_mev_per_atom": 222,
  "dos_at_fermi_per_ev_cell": 3.32,
  "energy_ev_per_cell": -17.06,
  "e_above_lowest_polymorph_ev_per_fu": 0.00,
  "cell": [[5.393, 0.000, 0.000], [0.000, 5.393, 0.000], [0.000, 0.000, 5.393]],
  "species": ["Pb", "Ca", "Ca", "Ca", "Fe"],
  "fractional_positions": [[0.500, 0.500, 0.500], [0.000, 0.500, 0.000], [0.000, 0.000, 0.500], [0.500, 0.000, 0.000], [0.000, 0.000, 0.000]]
}

***

No. 17
{
  "formula": "CaFePb2",
  "functional": "PBE",
  "state": "optimized geometry",
  "e_form_mev_per_atom": 245,
  "dos_at_fermi_per_ev_cell": 4.41,
  "energy_ev_per_cell": -16.90,
  "cell": [[5.007, 0.000, 0.000], [0.000, 3.599, -0.016], [0.000, 1.825, 5.827]],
  "species": ["Pb", "Pb", "Ca", "Fe"],
  "fractional_positions": [[0.000, 0.820, 0.985], [0.500, 0.193, 0.239], [0.000, 0.548, 0.530], [0.500, 0.939, 0.746]]
}

***

No. 18
{
  "formula": "Ca4FePb",
  "functional": "PBE",
  "state": "optimized geometry",
  "e_form_mev_per_atom": 611,
  "dos_at_fermi_per_ev_cell": 6.44,
  "energy_ev_per_cell": -16.51,
  "cell": [[4.023, -4.787, 2.009], [-2.447, -5.861, 1.671], [1.068, -5.220, -3.840]],
  "species": ["Ca", "Ca", "Ca", "Ca", "Fe", "Pb"],
  "fractional_positions": [[0.375, 0.874, 0.375], [0.874, 0.375, 0.375], [0.375, 0.375, 0.874], [0.375, 0.375, 0.375], [0.750, 0.750, 0.750], [0.000, 0.000, 0.000]]
}

***

No. 19
{
  "formula": "Ca2FePb",
  "functional": "PBE",
  "state": "optimized geometry",
  "e_form_mev_per_atom": 295,
  "dos_at_fermi_per_ev_cell": 11.00,
  "energy_ev_per_cell": -29.99,
  "cell": [[-9.500, 3.115, 2.417], [-3.816, -5.678, -7.682], [-6.902, -3.245, -1.059]],
  "species": ["Pb", "Pb", "Ca", "Ca", "Ca", "Ca", "Fe", "Fe"],
  "fractional_positions": [[0.000, 0.000, 0.000], [0.750, 0.250, 0.500], [0.466, 0.125, 0.250], [0.284, 0.625, 0.250], [0.375, 0.534, 0.750], [0.875, 0.716, 0.750], [0.500, 0.500, 0.000], [0.250, 0.750, 0.500]]
}

***

No. 20
{
  "formula": "CaFePb2",
  "functional": "PBE",
  "state": "optimized geometry",
  "e_form_mev_per_atom": 136,
  "dos_at_fermi_per_ev_cell": 3.29,
  "energy_ev_per_cell": -17.34,
  "cell": [[-0.975, -1.192, -4.274], [-0.488, -3.395, 1.058], [-6.290, -0.036, 1.445]],
  "species": ["Pb", "Pb", "Ca", "Fe"],
  "fractional_positions": [[0.000, 0.902, 0.973], [0.000, 0.598, 0.527], [0.500, 0.250, 0.250], [0.500, 0.750, 0.750]]
}